This record from the Alexandria database describes an optimized crystal structure of NdCd2SnGe. The functional is PBE.

a b c (Å): 4.3462 16.4459 7.4940
angles (deg): 90.00 90.00 90.00
Space group Cmcm (No. 63)
Asymmetric unit:
Nd: 0.0000 0.0998 0.2500 x4
Cd: 0.0000 0.3257 0.0576 x8
Sn: 0.0000 0.5000 0.0000 x4
Ge: 0.0000 0.2360 0.7500 x4

- DFT total energy (eV per cell) = -64.69
- calculated density (g/cm³) = 6.95
- V (A^3/atom) = 26.8
- energy of formation (meV/atom) = -191
- DOS(E_F) (states/eV per atom) = 0.271